The following is a DFT calculation (PBE) of a relaxed Nb2CuClO crystal.

Cell lengths 4.568, 4.568, 4.088 Å; angles 90.00, 90.00, 90.00 degrees
Atoms (fractional coordinates):
Nb (0.000, 0.500, 0.000)
Nb (0.500, 0.000, 0.000)
Cu (0.000, 0.000, 0.500)
Cl (0.000, 0.000, 0.000)
O (0.500, 0.500, 0.500)

Computed properties:
Formation energy (no corrections) (kJ/mol of formula units): 539
Space group: P4/mmm (123)
N(E_F) (states/eV per atom): 1.26
Crystal system: tetragonal



The following is a DFT calculation (PBE) of a relaxed SrNb2CuClO7 crystal.

Cell lengths 3.950, 3.950, 11.708 Å; angles 90.00, 90.00, 90.00 degrees
Atoms (fractional coordinates):
Sr (0.000, 0.000, 0.000)
Nb (0.500, 0.500, 0.189)
Nb (0.500, 0.500, 0.811)
Cu (0.500, 0.500, 0.500)
Cl (0.000, 0.000, 0.500)
O (0.000, 0.500, 0.159)
O (0.000, 0.500, 0.841)
O (0.500, 0.000, 0.159)
O (0.500, 0.000, 0.841)
O (0.500, 0.500, 0.000)
O (0.500, 0.500, 0.347)
O (0.500, 0.500, 0.653)

Computed properties:
Formation energy (no corrections) (kJ/mol of formula units): -2393
Space group: P4/mmm (123)
N(E_F) (states/eV per atom): 0.51
Crystal system: tetragonal



The following is a DFT calculation (PBE) of a relaxed NbCuP2Cl crystal.

Cell lengths 4.850, 4.850, 4.844 Å; angles 90.00, 90.00, 90.00 degrees
Atoms (fractional coordinates):
Nb (0.000, 0.000, 0.000)
Cu (0.500, 0.500, 0.500)
P (0.000, 0.500, 0.000)
P (0.500, 0.000, 0.000)
Cl (0.000, 0.000, 0.500)

Computed properties:
Polymorph energy (0 for the lowest one) (meV per atom): 0
Formation energy (no corrections) (kJ/mol of formula units): 192
Space group: P4/mmm (123)
N(E_F) (states/eV per atom): 0.52
Crystal system: tetragonal



The following is a DFT calculation (PBE) of a relaxed NbCuP2Cl crystal.

Cell lengths 4.408, 4.408, 4.725 Å; angles 90.00, 90.00, 90.00 degrees
Atoms (fractional coordinates):
Nb (0.000, 0.000, 0.000)
Cu (0.500, 0.500, 0.500)
P (0.000, 0.500, 0.500)
P (0.500, 0.000, 0.500)
Cl (0.500, 0.500, 0.000)

Computed properties:
Polymorph energy (0 for the lowest one) (meV per atom): 340
Formation energy (no corrections) (kJ/mol of formula units): 356
Space group: P4/mmm (123)
N(E_F) (states/eV per atom): 0.96
Crystal system: tetragonal



The following is a DFT calculation (PBE) of a relaxed RbNb3CuCl9 crystal.

Cell lengths 9.469, 9.512, 9.513 Å; angles 119.58, 105.66, 96.06 degrees
Atoms (fractional coordinates):
Rb (0.169, 0.240, 0.023)
Rb (0.831, 0.760, 0.977)
Nb (0.358, 0.806, 0.485)
Nb (0.361, 0.921, 0.249)
Nb (0.368, 0.157, 0.600)
Nb (0.632, 0.843, 0.400)
Nb (0.639, 0.079, 0.751)
Nb (0.642, 0.194, 0.515)
Cu (0.135, 0.555, 0.688)
Cu (0.865, 0.445, 0.312)
Cl (0.168, 0.552, 0.454)
Cl (0.169, 0.676, 0.184)
Cl (0.174, 0.819, 0.928)
Cl (0.179, 0.956, 0.599)
Cl (0.181, 0.093, 0.321)
Cl (0.199, 0.352, 0.731)
Cl (0.488, 0.585, 0.363)
Cl (0.492, 0.724, 0.087)
Cl (0.498, 0.864, 0.777)
Cl (0.502, 0.136, 0.223)
Cl (0.508, 0.276, 0.913)
Cl (0.512, 0.415, 0.637)
Cl (0.801, 0.648, 0.269)
Cl (0.819, 0.907, 0.679)
Cl (0.821, 0.044, 0.401)
Cl (0.826, 0.181, 0.072)
Cl (0.831, 0.324, 0.816)
Cl (0.832, 0.448, 0.546)

Computed properties:
Formation energy (no corrections) (kJ/mol of formula units): -1712
Space group: P-1 (2)
Crystal system: triclinic



The following is a DFT calculation (PBE) of a relaxed RbNbCu2Cl8 crystal.

Cell lengths 6.883, 7.115, 8.411 Å; angles 96.54, 90.35, 118.53 degrees
Atoms (fractional coordinates):
Rb (0.000, 0.000, 0.000)
Nb (0.000, 0.000, 0.500)
Cu (0.475, 0.944, 0.172)
Cu (0.525, 0.056, 0.828)
Cl (0.146, 0.304, 0.360)
Cl (0.167, 0.834, 0.323)
Cl (0.330, 0.177, 0.683)
Cl (0.361, 0.729, 0.917)
Cl (0.639, 0.271, 0.083)
Cl (0.670, 0.823, 0.317)
Cl (0.833, 0.166, 0.677)
Cl (0.854, 0.696, 0.640)

Computed properties:
Formation energy (no corrections) (kJ/mol of formula units): -1242
Space group: P-1 (2)
N(E_F) (states/eV per atom): 0.35
Crystal system: triclinic



Final energy for the records above, in order: -25.46, -87.27, -24.85, -23.14, -139.27, -46.88 eV per cell
Calculated volume for the records above, in order: 85.3, 182.7, 114.0, 91.8, 687.7, 358.7 Å³ per cell